# 1
CsK2HgCl (GGA-PBE, optimized geometry); formation energy from raw total energies = -0.71 eV per atom; N(E_F) = 0.3359 states/eV per atom; relative energy among the computed polymorphs = 0.0606 eV per atom; magnetic moment = 0.0 μB per cell
1.0
6.035 0.000 0.000
0.000 6.035 0.000
0.000 0.000 8.026
Cs K Hg Cl
1 2 1 1
Direct
0.500 0.500 0.500
0.000 0.500 0.000
0.500 0.000 0.000
0.000 0.000 0.500
0.000 0.000 0.000

---

# 2
CsKHgCl4 (GGA-PBE, optimized geometry); formation energy from raw total energies = -1.41 eV per atom; N(E_F) = 0.0000 states/eV per atom; magnetic moment = 0.0 μB per cell
1.0
7.648 0.000 0.057
0.000 7.470 0.000
-2.926 0.000 8.998
Cs K Hg Cl
2 2 2 8
Direct
0.743 0.750 0.941
0.257 0.250 0.059
0.783 0.750 0.444
0.217 0.250 0.556
0.241 0.750 0.324
0.759 0.250 0.676
0.995 0.504 0.730
0.005 0.004 0.270
0.005 0.496 0.270
0.995 0.996 0.730
0.429 0.750 0.145
0.571 0.250 0.855
0.451 0.750 0.584
0.549 0.250 0.416